No. 1
HoCoSb (PBE, optimized geometry); E_form (uncorrected) = -1.66 eV/f.u.; density = 9.29 g/cm3
1.0
4.3509 0.0000 0.0000
-2.1755 3.7680 0.0000
0.0000 0.0000 3.7702
Ho Co Sb
1 1 1
Cartesian
0.0000 0.0000 0.0000
0.0000 2.5120 1.8851
2.1755 1.2560 1.8851

***

No. 2
NbMo (PBE, optimized geometry); energy relative to the elements = 0.669 eV/atom; density = 8.62 g/cm3
1.0
-1.5183 2.2536 2.6591
1.5183 -2.2536 2.6591
1.5183 2.2536 -2.6591
Nb Mo
1 1
Cartesian
0.0000 0.0000 0.0000
0.0000 0.0000 2.6591

***

No. 3
ZnAgHg2 (PBE, optimized geometry); energy relative to the elements = 0.130 eV/atom; density = 11.82 g/cm3
1.0
-2.1643 2.1643 4.3072
2.1643 -2.1643 4.3072
2.1643 2.1643 -4.3072
Zn Ag Hg
1 1 2
Cartesian
0.0000 0.0000 0.0000
2.1643 0.0000 2.1536
0.0000 0.0000 4.3072
0.0000 2.1643 2.1536

***

No. 4
BaLiCu2F8 (PBE, optimized geometry); E_form (uncorrected) = -26.81 eV/f.u.; density = 4.42 g/cm3
1.0
-2.8436 2.8436 4.9154
2.8436 -2.8436 4.9154
2.8436 2.8436 -4.9154
Ba Li Cu F
1 1 2 8
Cartesian
0.0000 0.0000 0.0000
2.8436 0.0000 2.4577
0.0000 0.0000 4.9154
0.0000 2.8436 2.4577
3.8501 1.6271 -2.6183
2.5731 1.0837 0.1170
1.7599 -0.2705 4.7984
-1.0065 1.2164 2.2972
1.0837 3.1141 -0.1170
1.6271 1.8370 2.6183
0.2705 1.7599 5.0324
1.2164 1.0065 7.5337

***

No. 5
Ba2CuTe2 (PBE, optimized geometry); E_form (uncorrected) = -3.90 eV/f.u.; density = 5.07 g/cm3
1.0
9.2713 0.0000 0.0000
0.0000 9.2713 0.0000
0.0000 0.0000 4.5193
Ba Cu Te
4 2 4
Cartesian
1.3801 3.2555 0.0000
3.2555 7.8912 0.0000
6.0158 1.3801 0.0000
7.8912 6.0158 0.0000
0.0000 0.0000 0.0000
4.6357 4.6357 0.0000
1.4648 6.1004 2.2596
3.1709 1.4648 2.2596
6.1004 7.8066 2.2596
7.8066 3.1709 2.2596

***

No. 6
PmPrPaO6 (PBE, optimized geometry); E_form (uncorrected) = -27.77 eV/f.u.; density = 6.93 g/cm3
1.0
6.0156 0.0000 0.0000
-3.0078 5.2097 0.0000
0.0000 0.0000 4.6865
Pm Pr Pa O
1 1 1 6
Cartesian
0.0000 0.0000 0.0000
3.0078 1.7366 0.0000
0.0000 3.4731 2.3432
-0.9086 1.8496 1.1709
-1.8603 3.4980 3.5156
0.9086 1.8496 3.5156
-0.9517 5.0718 1.1709
1.8603 3.4980 1.1709
0.9517 5.0718 3.5156

***

No. 7
RbTlP2Cl (PBE, optimized geometry); E_form (uncorrected) = 3.88 eV/f.u.; density = 2.61 g/cm3
1.0
6.3976 0.0000 0.0000
0.0000 6.3976 0.0000
0.0000 0.0000 6.0118
Rb Tl P Cl
1 1 2 1
Cartesian
0.0000 0.0000 0.0000
3.1988 3.1988 3.0059
0.0000 3.1988 0.0000
3.1988 0.0000 0.0000
0.0000 0.0000 3.0059

***

No. 8
AgSbS3 (PBE, optimized geometry); E_form (uncorrected) = -0.04 eV/f.u.; density = 4.53 g/cm3
1.0
3.7860 0.0000 0.0000
-0.6699 7.6166 0.0000
-1.1371 -0.1872 8.2829
Ag Sb S
2 2 6
Cartesian
0.3548 1.2277 3.3921
1.6242 6.2017 4.8908
-0.2045 6.1426 1.2643
2.1835 1.2868 7.0186
-0.2520 5.2381 3.5499
-0.2912 6.9655 6.5104
0.3747 3.3302 7.2988
1.6043 4.0992 0.9842
2.2703 0.4639 1.7725
2.2311 2.1913 4.7330